[1]
12
Lattice="2.3883 -4.1304 0.0000 2.3883 4.1304 0.0000 -1.5675 0.0000 5.1149" Properties=species:S:1:pos:R:3 comment="Li3Mn2CrN6 (PBE-GGA, relaxed)" raw_formation_energy_ev_per_atom=-0.269 pbc="T T T"
Li 0.0000 0.0000 0.0000
Li 2.3883 1.4000 0.0000
Li 2.3883 -1.4000 0.0000
Mn 1.6045 2.8998 2.5574
Mn 1.6045 -2.8998 2.5574
Cr 1.6045 0.0000 2.5574
N 0.7925 1.3819 1.4671
N 0.0204 0.0000 3.7547
N 0.7925 -1.3819 1.4671
N 2.4165 1.3819 3.6477
N 3.1886 0.0000 1.3602
N 2.4165 -1.3819 3.6477

---

[2]
5
Lattice="4.5511 0.0000 0.0000 0.0000 4.5511 0.0000 0.0000 0.0000 4.5066" Properties=species:S:1:pos:R:3 comment="LiMn2NbCr (PBE-GGA, relaxed)" e_form_ev_per_atom=0.920 pbc="T T T"
Li 0.0000 0.0000 0.0000
Mn 0.0000 2.2755 2.2533
Mn 2.2755 0.0000 2.2533
Nb 2.2755 2.2755 0.0000
Cr 2.2755 2.2755 2.2533